# CsLiPt, relaxed, DFT PBE-GGA
data_CsLiPt
_chemical_formula_sum 'Cs4 Li4 Pt4'
_symmetry_space_group_name_H-M 'F -4 3 m'
_symmetry_Int_Tables_number 216
_symmetry_space_group_name_Hall 'F -4 2 3'
_cell_length_a 7.2663
_cell_length_b 7.2663
_cell_length_c 7.2663
_cell_angle_alpha 90.00
_cell_angle_beta 90.00
_cell_angle_gamma 90.00
loop_
_atom_site_label
_atom_site_type_symbol
_atom_site_fract_x
_atom_site_fract_y
_atom_site_fract_z
_atom_site_occupancy
Cs1 Cs 0.0000 0.0000 0.0000 1
Li1 Li 0.2500 0.2500 0.7500 1
Pt1 Pt 0.2500 0.2500 0.2500 1
# * magnetization: 0.0 μB/cell
# * energy: -2.389 eV per atom
# * energy relative to the lowest polymorph listed for this composition: 411.3 meV/atom